The following is a meta-GGA SCAN calculation of a PBEsol-optimized structure of Sr3Ta4Ti4O21, from Alexandria.

Cell lengths 8.9796, 8.9796, 11.4659 Å; angles 89.94, 89.94, 60.23 degrees
Closest atoms and distances in Å follow each position.
Atoms (fractional coordinates):
Sr (0.9802, 0.4127, 0.7509)  7 O 2.63-2.88
Sr (0.5873, 0.0198, 0.7491)  7 O 2.63-2.88
Sr (0.4114, 0.5887, 0.7500)  6 O 2.69-2.70
Sr (0.0198, 0.5873, 0.2491)  7 O 2.63-2.88
Sr (0.4127, 0.9802, 0.2509)  7 O 2.63-2.88
Sr (0.5886, 0.4113, 0.2500)  6 O 2.69-2.70
Ta (0.3387, 0.3297, 0.5000)  6 O 1.96-2.00
Ta (0.6613, 0.6703, 0.5000)  6 O 1.96-2.00
Ta (0.6703, 0.6613, 0.0000)  6 O 1.96-2.00
Ta (0.3297, 0.3387, 0.0000)  6 O 1.96-2.00
Ta (0.0011, 0.7559, 0.5932)  6 O 1.89-2.06
Ta (0.9989, 0.2441, 0.4068)  6 O 1.89-2.06
Ta (0.7559, 0.0011, 0.0932)  6 O 1.89-2.06
Ta (0.2441, 0.9989, 0.9068)  6 O 1.89-2.06
Ti (0.2510, 0.9959, 0.5939)  4 O 1.83-1.97
Ti (0.7514, 0.2490, 0.5964)  4 O 1.82-1.99
Ti (0.7490, 0.0041, 0.4061)  4 O 1.83-1.97
Ti (0.2486, 0.7510, 0.4036)  4 O 1.82-1.99
Ti (0.9959, 0.2510, 0.0939)  4 O 1.83-1.97
Ti (0.2490, 0.7514, 0.0964)  4 O 1.82-1.99
Ti (0.0041, 0.7490, 0.9061)  4 O 1.83-1.97
Ti (0.7510, 0.2486, 0.9036)  4 O 1.82-1.99
O (0.5153, 0.3140, 0.6089)  1 Ti 1.90, 1 Ta 1.97
O (0.1659, 0.5110, 0.6053)  2 Ta 1.95-2.00
O (0.3226, 0.1602, 0.6001)  1 Ti 1.88, 1 Ta 1.97
O (0.4840, 0.8295, 0.6083)  1 Ti 1.88, 1 Ta 1.96
O (0.8327, 0.6794, 0.6073)  2 Ta 1.95-2.00
O (0.6804, 0.4840, 0.6041)  1 Ti 1.88, 1 Ta 1.99
O (0.4847, 0.6860, 0.3911)  1 Ti 1.90, 1 Ta 1.97
O (0.8341, 0.4890, 0.3947)  2 Ta 1.95-2.00
O (0.6774, 0.8398, 0.3999)  1 Ti 1.88, 1 Ta 1.97
O (0.5160, 0.1705, 0.3917)  1 Ti 1.88, 1 Ta 1.96
O (0.1673, 0.3206, 0.3927)  2 Ta 1.95-2.00
O (0.3196, 0.5160, 0.3959)  1 Ti 1.88, 1 Ta 1.99
O (0.4840, 0.6804, 0.1041)  1 Ti 1.88, 1 Ta 1.99
O (0.8295, 0.4840, 0.1083)  1 Ti 1.88, 1 Ta 1.96
O (0.6794, 0.8327, 0.1073)  2 Ta 1.95-2.00
O (0.5110, 0.1659, 0.1053)  2 Ta 1.95-2.00
O (0.1602, 0.3226, 0.1001)  1 Ti 1.88, 1 Ta 1.97
O (0.3140, 0.5153, 0.1089)  1 Ti 1.90, 1 Ta 1.97
O (0.5160, 0.3196, 0.8959)  1 Ti 1.88, 1 Ta 1.99
O (0.1705, 0.5160, 0.8917)  1 Ti 1.88, 1 Ta 1.96
O (0.3206, 0.1673, 0.8927)  2 Ta 1.95-2.00
O (0.4890, 0.8341, 0.8947)  2 Ta 1.95-2.00
O (0.8398, 0.6774, 0.8999)  1 Ti 1.88, 1 Ta 1.97
O (0.6860, 0.4847, 0.8911)  1 Ti 1.90, 1 Ta 1.97
O (0.0016, 0.8090, 0.7528)  1 Ti 1.83, 1 Ta 1.89
O (0.1910, 0.9984, 0.7472)  1 Ti 1.83, 1 Ta 1.89
O (0.8032, 0.1968, 0.7500)  2 Ti 1.82
O (0.9984, 0.1910, 0.2472)  1 Ti 1.83, 1 Ta 1.89
O (0.8090, 0.0016, 0.2528)  1 Ti 1.83, 1 Ta 1.89
O (0.1968, 0.8032, 0.2500)  2 Ti 1.82
O (0.9996, 0.2119, 0.5778)  1 Ta 1.98, 2 Ti 2.09-2.13
O (0.7924, 0.9985, 0.5748)  2 Ti 1.97-2.11, 1 Ta 2.06
O (0.2115, 0.7860, 0.5744)  2 Ti 1.99-2.10, 1 Ta 2.05
O (0.0004, 0.7881, 0.4222)  1 Ta 1.98, 2 Ti 2.09-2.13
O (0.2076, 0.0015, 0.4252)  2 Ti 1.97-2.11, 1 Ta 2.06
O (0.7885, 0.2140, 0.4256)  2 Ti 1.99-2.10, 1 Ta 2.05
O (0.9985, 0.7924, 0.0748)  2 Ti 1.97-2.11, 1 Ta 2.06
O (0.2119, 0.9996, 0.0778)  1 Ta 1.98, 2 Ti 2.09-2.13
O (0.7860, 0.2115, 0.0744)  2 Ti 1.99-2.10, 1 Ta 2.05
O (0.0015, 0.2076, 0.9252)  2 Ti 1.97-2.11, 1 Ta 2.06
O (0.7881, 0.0004, 0.9222)  1 Ta 1.98, 2 Ti 2.09-2.13
O (0.2140, 0.7885, 0.9256)  2 Ti 1.99-2.10, 1 Ta 2.05

- magnetization (μB per cell) = 0.00
- total energy (eV per atom) = -19.7894
- formation energy from raw total energies (eV per atom) = -3.2852
- SG = C2/c, No. 15

---

The following is a meta-GGA SCAN calculation of a PBEsol-optimized structure of LiPtN3, from Alexandria.

Cell lengths 3.9577, 3.9577, 3.9577 Å; angles 90.00, 90.00, 90.00 degrees
Closest atoms and distances in Å follow each position.
Atoms (fractional coordinates):
Li (0.5000, 0.5000, 0.5000)  12 N 2.80
Pt (0.0000, 0.0000, 0.0000)  6 N 1.98
N (0.0000, 0.5000, 0.0000)  2 Pt 1.98
N (0.0000, 0.0000, 0.5000)  2 Pt 1.98
N (0.5000, 0.0000, 0.0000)  2 Pt 1.98

- magnetization (μB per cell) = 4.38
- total energy (eV per atom) = -18.7445
- formation energy from raw total energies (eV per atom) = 1.3468
- SG = Pm-3m, No. 221

---

The following is a meta-GGA SCAN calculation of a PBEsol-optimized structure of CdCl2F2, from Alexandria.

Cell lengths 5.8617, 5.8617, 5.7530 Å; angles 90.00, 90.00, 90.00 degrees
Closest atoms and distances in Å follow each position.
Atoms (fractional coordinates):
F (0.3120, 0.8120, 0.0000)  2 Cd 2.14
F (0.8120, 0.6880, 0.0000)  2 Cd 2.14
F (0.6880, 0.1880, 0.0000)  2 Cd 2.14
F (0.1880, 0.3120, 0.0000)  2 Cd 2.14
Cl (0.1198, 0.6198, 0.5000)  1 Cl 1.99
Cl (0.6198, 0.8802, 0.5000)  1 Cl 1.99
Cl (0.8802, 0.3802, 0.5000)  1 Cl 1.99
Cl (0.3802, 0.1198, 0.5000)  1 Cl 1.99
Cd (0.0000, 0.0000, 0.0000)  4 F 2.14
Cd (0.5000, 0.5000, 0.0000)  4 F 2.14

- magnetization (μB per cell) = 0.00
- total energy (eV per atom) = -11.8908
- formation energy from raw total energies (eV per atom) = -1.2008
- SG = P4/mbm, No. 127

---

The following is a meta-GGA SCAN calculation of a PBEsol-optimized structure of YAlNi3, from Alexandria.

Cell lengths 4.5380, 4.5380, 4.5380 Å; angles 90.00, 90.00, 90.00 degrees
Closest atoms and distances in Å follow each position.
Atoms (fractional coordinates):
Y (0.0000, 0.0000, 0.0000)  6 Ni 2.27
Ni (0.0000, 0.5000, 0.0000)  2 Y 2.27
Ni (0.0000, 0.0000, 0.5000)  2 Y 2.27
Ni (0.5000, 0.0000, 0.0000)  2 Y 2.27
Al (0.5000, 0.5000, 0.5000)  12 Ni 3.21

- magnetization (μB per cell) = 0.00
- total energy (eV per atom) = -15.4709
- E_form (eV/atom) = 1.352
- SG = Pm-3m, No. 221

---

The following is a meta-GGA SCAN calculation of a PBEsol-optimized structure of Be2CoPd, from Alexandria.

Cell lengths 3.7948, 3.7948, 3.7948 Å; angles 60.00, 60.00, 60.00 degrees
Closest atoms and distances in Å follow each position.
Atoms (fractional coordinates):
Be (0.2500, 0.2500, 0.2500)  4 Co 2.32, 4 Pd 2.32
Be (0.7500, 0.7500, 0.7500)  4 Co 2.32, 4 Pd 2.32
Co (0.0000, 0.0000, 0.0000)  8 Be 2.32
Pd (0.5000, 0.5000, 0.5000)  8 Be 2.32

- magnetization (μB per cell) = 0.38
- total energy (eV per atom) = -15.1874
- E_form (eV/atom) = -0.491
- SG = Fm-3m, No. 225

---

The following is a meta-GGA SCAN calculation of a PBEsol-optimized structure of Dy6FeBi2, from Alexandria.

Cell lengths 4.0821, 8.2127, 8.2127 Å; angles 120.00, 90.00, 90.00 degrees
Closest atoms and distances in Å follow each position.
Atoms (fractional coordinates):
Dy (0.5000, 0.7697, 0.7697)  2 Fe 2.78
Dy (0.5000, 0.0000, 0.2303)  2 Fe 2.78
Dy (0.5000, 0.2303, 0.0000)  2 Fe 2.78
Dy (0.0000, 0.3929, 0.3929)  1 Fe 3.23, 4 Bi 3.25, 4 Dy 3.47
Dy (0.0000, 0.0000, 0.6071)  1 Fe 3.23, 4 Bi 3.25, 4 Dy 3.47
Dy (0.0000, 0.6071, 0.0000)  1 Fe 3.23, 4 Bi 3.25, 4 Dy 3.47
Fe (0.0000, 0.0000, 0.0000)  6 Dy 2.78
Bi (0.5000, 0.6667, 0.3333)  9 Dy 3.24-3.25
Bi (0.5000, 0.3333, 0.6667)  9 Dy 3.24-3.25

- magnetization (μB per cell) = 0.68
- total energy (eV per atom) = -51.8274
- E_form (eV/atom) = -0.487
- SG = P-62m, No. 189

---

The following is a meta-GGA SCAN calculation of a PBEsol-optimized structure of LaFe2P2, from Alexandria.

Cell lengths 3.7768, 3.7768, 5.9741 Å; angles 108.43, 108.43, 90.00 degrees
Closest atoms and distances in Å follow each position.
Atoms (fractional coordinates):
P (0.3513, 0.3513, 0.7026)  4 Fe 2.18
P (0.6487, 0.6487, 0.2974)  4 Fe 2.18
Fe (0.2500, 0.7500, 0.5000)  4 P 2.18
Fe (0.7500, 0.2500, 0.5000)  4 P 2.18
La (0.0000, 0.0000, 0.0000)  8 P 3.11, 8 Fe 3.27

- magnetization (μB per cell) = 0.00
- total energy (eV per atom) = -20.9687
- E_form (eV/atom) = -0.936
- SG = I4/mmm, No. 139

---

The following is a meta-GGA SCAN calculation of a PBEsol-optimized structure of MgTiF5, from Alexandria.

Cell lengths 5.1822, 7.3301, 9.7034 Å; angles 90.00, 90.00, 108.52 degrees
Closest atoms and distances in Å follow each position.
Atoms (fractional coordinates):
Mg (0.4781, 0.7725, 0.9863)  6 F 1.94-2.15
Mg (0.5219, 0.7275, 0.4863)  6 F 1.94-2.15
Mg (0.5219, 0.2275, 0.0137)  6 F 1.94-2.15
Mg (0.4781, 0.2725, 0.5137)  6 F 1.94-2.15
Ti (0.8995, 0.6234, 0.2424)  6 F 1.90-2.03
Ti (0.1005, 0.8766, 0.7424)  6 F 1.90-2.03
Ti (0.1005, 0.3766, 0.7576)  6 F 1.90-2.03
Ti (0.8995, 0.1234, 0.2576)  6 F 1.90-2.03
F (0.6050, 0.6087, 0.1121)  1 Ti 1.96, 1 Mg 1.97
F (0.3950, 0.8913, 0.6121)  1 Ti 1.96, 1 Mg 1.97
F (0.3950, 0.3913, 0.8879)  1 Ti 1.96, 1 Mg 1.97
F (0.6050, 0.1087, 0.3879)  1 Ti 1.96, 1 Mg 1.97
F (0.6425, 0.5077, 0.3945)  1 Ti 1.99, 2 Mg 2.03-2.10
F (0.3575, 0.9923, 0.8945)  1 Ti 1.99, 2 Mg 2.03-2.10
F (0.3575, 0.4923, 0.6055)  1 Ti 1.99, 2 Mg 2.03-2.10
F (0.6425, 0.0077, 0.1055)  1 Ti 1.99, 2 Mg 2.03-2.10
F (0.8490, 0.7787, 0.5971)  1 Ti 1.90, 1 Mg 1.94
F (0.1510, 0.7213, 0.0971)  1 Ti 1.90, 1 Mg 1.94
F (0.1510, 0.2213, 0.4029)  1 Ti 1.90, 1 Mg 1.94
F (0.8490, 0.2787, 0.9029)  1 Ti 1.90, 1 Mg 1.94
F (0.7890, 0.8329, 0.8621)  1 Ti 1.93, 1 Mg 1.95
F (0.2110, 0.6671, 0.3621)  1 Ti 1.93, 1 Mg 1.95
F (0.2110, 0.1671, 0.1379)  1 Ti 1.93, 1 Mg 1.95
F (0.7890, 0.3329, 0.6379)  1 Ti 1.93, 1 Mg 1.95
F (0.8130, 0.8509, 0.3264)  2 Ti 2.02-2.03, 1 Mg 2.15
F (0.1870, 0.6491, 0.8264)  2 Ti 2.02-2.03, 1 Mg 2.15
F (0.1870, 0.1491, 0.6736)  2 Ti 2.02-2.03, 1 Mg 2.15
F (0.8130, 0.3509, 0.1736)  2 Ti 2.02-2.03, 1 Mg 2.15

- magnetization (μB per cell) = 4.00
- total energy (eV per atom) = -9.1466
- formation energy from raw total energies (eV per atom) = -3.6175
- SG = P2_1/c, No. 14